Entry from the Alexandria database: an optimized crystal structure of Sb2Te3Au4 (PBE).

Structure (POSCAR):
```
Sb2Te3Au4
1.0
6.1746 -2.1051 0.0000
6.1746 2.1051 0.0000
-4.3616 0.0000 8.6723
Sb Te Au
2 3 4
Cartesian
2.3028 0.0000 1.4480
5.6848 0.0000 7.2243
-2.1808 0.0000 4.3361
1.8635 0.0000 7.0164
6.1241 0.0000 1.6559
-2.3720 0.0000 7.2683
1.9173 0.0000 4.2489
6.0703 0.0000 4.4234
10.3597 0.0000 1.4040
```

Results
N(E_F) in states/eV/atom: 0.5283
Mass density in g/cm3: 10.42
Calculated total energy in Ry per atom: -0.254
Formation energy without anion corrections in eV per atom: -0.04


Entry from the Alexandria database: an optimized crystal structure of Pm4NiHg (PBE).

Structure (POSCAR):
```
Pm4NiHg
1.0
0.0000 6.9077 6.9077
6.9077 0.0000 6.9077
6.9077 6.9077 0.0000
Pm Ni Hg
16 4 4
Cartesian
6.9077 6.9077 2.5879
6.9077 2.5879 6.9077
11.2275 6.9077 6.9077
5.5324 5.5324 5.5324
8.2830 8.2830 5.5324
8.2830 5.5324 8.2830
10.3615 10.3615 7.7220
10.3615 7.7220 10.3615
13.0011 10.3615 10.3615
5.5324 8.2830 8.2830
2.5879 6.9077 6.9077
6.9077 11.2275 6.9077
6.9077 6.9077 11.2275
7.7220 10.3615 10.3615
10.3615 13.0011 10.3615
10.3615 10.3615 13.0011
8.3894 5.4260 5.4260
5.4260 8.3894 5.4260
5.4260 5.4260 8.3894
8.3894 8.3894 8.3894
2.2939 2.2939 2.2939
4.6138 4.6138 2.2939
4.6138 2.2939 4.6138
2.2939 4.6138 4.6138
```

Results
N(E_F) in states/eV/atom: 0.6937
Mass density in g/cm3: 8.46
Calculated total energy in Ry per atom: -0.329
Distance to the lowest polymorph of the same formula in meV per atom: 0
Formation energy in meV/atom: -301.0


Entry from the Alexandria database: an optimized crystal structure of KNbTc2Sn (PBE).

Structure (POSCAR):
```
KNbTc2Sn
1.0
4.7685 0.0000 0.0000
0.0000 4.7685 0.0000
0.0000 0.0000 5.6247
K Nb Tc Sn
1 1 2 1
Cartesian
0.0000 0.0000 0.0000
0.0000 0.0000 2.8124
0.0000 2.3842 2.8124
2.3842 0.0000 2.8124
2.3842 2.3842 0.0000
```

Results
N(E_F) in states/eV/atom: 1.2283
Mass density in g/cm3: 5.80
Calculated total energy in Ry per atom: -0.411
Formation energy in meV/atom: 1585.7


Entry from the Alexandria database: an optimized crystal structure of FeOs2Pb (PBE).

Structure (POSCAR):
```
FeOs2Pb
1.0
1.4435 0.8334 9.2604
-1.4435 0.8334 9.2604
0.0000 -1.6668 9.2604
Fe Os Pb
1 2 1
Cartesian
0.0000 0.0000 0.0000
0.0000 0.0000 7.3224
0.0000 0.0000 20.4589
0.0000 0.0000 13.8907
```

Results
N(E_F) in states/eV/atom: 0.8134
Mass density in g/cm3: 15.99
Calculated total energy in Ry per atom: -0.577
Formation energy in meV/atom: 808.6


Entry from the Alexandria database: an optimized crystal structure of Sc2BeOs (PBE).

Structure (POSCAR):
```
Sc2BeOs
1.0
3.4467 0.0000 0.0000
0.0000 3.9902 0.0000
-1.7160 0.0000 5.0974
Sc Be Os
2 1 1
Cartesian
0.0000 0.0000 0.0000
0.0018 1.9951 3.0129
1.7248 1.9951 0.9208
1.7239 0.0000 2.1183
```

Results
N(E_F) in states/eV/atom: 0.8683
Mass density in g/cm3: 6.85
Calculated total energy in Ry per atom: -0.525
Formation energy in meV/atom: -244.7


Entry from the Alexandria database: an optimized crystal structure of In2HgW (PBE).

Structure (POSCAR):
```
In2HgW
1.0
3.7662 0.0000 0.0000
0.0000 3.7662 0.0000
0.0000 0.0000 5.8857
In Hg W
2 1 1
Cartesian
0.0000 0.0000 0.0000
1.8831 1.8831 1.6967
1.8831 1.8831 4.4790
0.0000 0.0000 2.9063
```

Results
N(E_F) in states/eV/atom: 0.6749
Mass density in g/cm3: 12.21
Calculated total energy in Ry per atom: -0.295
Formation energy in meV/atom: 670.0


Q: Among the records above, which one has the lowest N(E_F)?
A: Sb2Te3Au4